Entry 1:
## TiTe2N2 (PBE-GGA)

Data for an optimized crystal structure of TiTe2N2.

abc: 4.0115 4.0115 6.4093
angles: 90.00 90.00 90.00
Atoms (fractional coordinates):
N  0.0000  0.5000  0.0000
N  0.5000  0.0000  0.0000
Te  0.0000  0.0000  0.0000
Te  0.0000  0.0000  0.5000
Ti  0.5000  0.5000  0.5000

- formation energy from raw total energies (meV/atom) = 1341


Entry 2:
## Ti3TeN (PBE-GGA)

Data for an optimized crystal structure of Ti3TeN.

abc: 3.3512 5.8522 8.0856
angles: 90.00 90.00 106.64
Atoms (fractional coordinates):
Ti  0.0374  0.0748  0.7500
Ti  0.9626  0.9252  0.2500
Ti  0.3857  0.7713  0.5483
Ti  0.6143  0.2287  0.4517
Ti  0.6143  0.2287  0.0483
Ti  0.3857  0.7713  0.9517
Te  0.2576  0.5151  0.2500
Te  0.7424  0.4849  0.7500
N  0.0000  0.0000  0.5000
N  0.0000  0.0000  0.0000

- formation energy from raw total energies (meV/atom) = -993


Entry 3:
## TiTe2N2 (PBE-GGA)

Data for an optimized crystal structure of TiTe2N2.

abc: 4.5609 4.5609 3.9057
angles: 90.00 90.00 90.00
Site moments in Bohr magnetons follow the coordinates.
Atoms (fractional coordinates):
N  0.0000  0.0000  0.0000  -0.02
N  0.0000  0.0000  0.5000  0.25
Te  0.0000  0.5000  0.0000  0.04
Te  0.5000  0.0000  0.0000  0.04
Ti  0.5000  0.5000  0.5000  -0.59

- formation energy from raw total energies (meV/atom) = 1203


Entry 4:
## TiTeN2 (PBE-GGA)

Data for an optimized crystal structure of TiTeN2.

abc: 6.6905 6.6905 6.6905
angles: 27.14 27.14 27.14
Atoms (fractional coordinates):
N  0.8878  0.8878  0.8878
N  0.1122  0.1122  0.1122
Te  0.0000  0.0000  0.0000
Ti  0.5000  0.5000  0.5000

- formation energy from raw total energies (meV/atom) = -382


Entry 5:
## TiTeN2 (PBE-GGA)

Data for an optimized crystal structure of TiTeN2.

abc: 5.2838 5.2838 5.8626
angles: 63.22 63.22 90.00
Atoms (fractional coordinates):
N  0.5351  0.1250  0.2500
N  0.2149  0.6250  0.2500
N  0.3750  0.4649  0.7500
N  0.8750  0.7851  0.7500
Te  0.0000  0.0000  0.0000
Te  0.7500  0.2500  0.5000
Ti  0.5000  0.5000  0.0000
Ti  0.2500  0.7500  0.5000

- formation energy from raw total energies (meV/atom) = -50


Entry 6:
## Ti6Te2N (PBE-GGA)

Data for an optimized crystal structure of Ti6Te2N.

abc: 5.0739 5.7750 5.7750
angles: 60.59 85.12 85.12
Atoms (fractional coordinates):
Ti  0.2009  0.3515  0.8705
Ti  0.3126  0.8592  0.8592
Ti  0.2009  0.8705  0.3515
Ti  0.7991  0.6485  0.1295
Ti  0.6874  0.1408  0.1408
Ti  0.7991  0.1295  0.6485
Te  0.6999  0.6422  0.6422
Te  0.3001  0.3578  0.3578
N  0.0000  0.0000  0.0000

- formation energy from raw total energies (meV/atom) = -662